# GGA+U CrHgP2O, relaxed
data_CrHgP2O
_chemical_formula_sum 'Cr1 Hg1 P2 O1'
_cell_length_a 4.741
_cell_length_b 4.741
_cell_length_c 3.560
_cell_angle_alpha 90.00
_cell_angle_beta 90.00
_cell_angle_gamma 90.00
_symmetry_space_group_name_H-M 'P 1'
_symmetry_Int_Tables_number 1
_symmetry_space_group_name_Hall 'P 1'
loop_
_atom_site_label
_atom_site_type_symbol
_atom_site_fract_x
_atom_site_fract_y
_atom_site_fract_z
Cr1 Cr 0.000 0.000 0.000
Hg1 Hg 0.500 0.500 0.500
P1 P 0.000 0.500 0.000
P2 P 0.500 0.000 0.000
O1 O 0.000 0.000 0.500
# Relative energy among the computed polymorphs ... 0 meV/atom
# Space-group type ... P4/mmm, No. 123
# N(E_F) ... 2.0 states/eV/f.u.
# VASP energy ... -4.423 eV per atom